1.
DFT (PBE-GGA) results for a relaxed structure of GdAsPbO.

Results
* energy above the lowest structure with this stoichiometry: 0 meV/atom
* total moment: 0.0 μB/f.u.
* final energy: -5.917 eV/atom

Unit cell a=4.3103 b=4.3103 c=9.6193 alpha=90.00 beta=90.00 gamma=90.00
Last column: nearest neighbours and their distance in Å.
Element x y z (fractional)
Pb1 0.2500 0.7500 0.5000  4 Pb 3.05, 4 As 3.10
As1 0.7500 0.7500 0.2686  4 Pb 3.10, 4 O 3.36
Gd1 0.2500 0.2500 0.0958  4 O 2.34
Gd2 0.7500 0.7500 0.9042  4 O 2.34
O1 0.2500 0.7500 0.0000  4 Gd 2.34
O2 0.7500 0.2500 0.0000  4 Gd 2.34
As2 0.2500 0.2500 0.7314  4 Pb 3.10, 4 O 3.36
Pb2 0.7500 0.2500 0.5000  4 Pb 3.05, 4 As 3.10

2.
DFT (PBE-GGA) results for a relaxed structure of GdAsPbO.

Results
* energy above the lowest structure with this stoichiometry: 361 meV/atom
* total moment: 0.0 μB/f.u.
* final energy: -5.556 eV/atom

Unit cell a=5.6624 b=5.6624 c=5.5322 alpha=90.00 beta=90.00 gamma=90.00
Last column: nearest neighbours and their distance in Å.
Element x y z (fractional)
Pb1 0.2500 0.2500 0.0090  2 As 2.76-2.78, 4 O 2.83
Gd1 0.7500 0.2500 0.5000  2 O 2.77, 4 As 2.83
As1 0.2500 0.2500 0.5107  2 Pb 2.76-2.78, 4 Gd 2.83
Gd2 0.2500 0.7500 0.5000  2 O 2.77, 4 As 2.83
Pb2 0.7500 0.7500 0.9910  2 As 2.76-2.78, 4 O 2.83
As2 0.7500 0.7500 0.4893  2 Pb 2.76-2.78, 4 Gd 2.83
O1 0.7500 0.2500 0.0000  2 Gd 2.77, 4 Pb 2.83
O2 0.2500 0.7500 0.0000  2 Gd 2.77, 4 Pb 2.83

3.
DFT (PBE-GGA) results for a relaxed structure of GdAsPb2O6.

Results
* total moment: 0.0 μB/f.u.
* final energy: -5.393 eV/atom

Unit cell a=5.9656 b=5.9656 c=5.9656 alpha=60.00 beta=60.00 gamma=60.00
Last column: nearest neighbours and their distance in Å.
Element x y z (fractional)
Pb1 0.2500 0.2500 0.2500  6 O 2.11
O1 0.0000 0.0000 0.5000  2 Pb 2.11
O2 0.5000 0.5000 0.0000  2 Pb 2.11
O3 0.5000 0.0000 0.0000  2 Pb 2.11
O4 0.0000 0.5000 0.0000  2 Pb 2.11
O5 0.0000 0.5000 0.5000  2 Pb 2.11
Pb2 0.7500 0.7500 0.7500  6 O 2.11
As1 0.0000 0.0000 0.0000  12 O 2.98
Gd1 0.5000 0.5000 0.5000  12 O 2.98
O6 0.5000 0.0000 0.5000  2 Pb 2.11

4.
DFT (PBE-GGA) results for a relaxed structure of GdAsPbO.

Results
* energy above the lowest structure with this stoichiometry: 70 meV/atom
* total moment: 0.0 μB/f.u.
* final energy: -5.846 eV/atom

Unit cell a=5.0551 b=6.6048 c=6.4467 alpha=90.00 beta=90.00 gamma=90.00
Last column: nearest neighbours and their distance in Å.
Element x y z (fractional)
Gd1 0.5000 0.3526 0.0418  2 O 2.14-2.18
Pb1 0.0000 0.7728 0.9400  2 O 2.71, 2 As 2.92-2.93
O1 0.5000 0.3641 0.3792  2 Gd 2.14-2.18
As1 0.0000 0.7865 0.3931  2 Gd 2.86, 2 Pb 2.92-2.93
O2 0.5000 0.6359 0.8792  2 Gd 2.14-2.18
Gd2 0.5000 0.6474 0.5418  2 O 2.14-2.18
As2 0.0000 0.2135 0.8931  2 Gd 2.86, 2 Pb 2.92-2.93
Pb2 0.0000 0.2272 0.4400  2 O 2.71, 2 As 2.92-2.93

5.
DFT (PBE-GGA) results for a relaxed structure of GdAsPdO.

Results
* energy above the lowest structure with this stoichiometry: 403 meV/atom
* total moment: 0.0 μB/f.u.
* final energy: -6.299 eV/atom

Unit cell a=4.6539 b=4.3921 c=6.7457 alpha=90.00 beta=90.00 gamma=90.00
Last column: nearest neighbours and their distance in Å.
Element x y z (fractional)
Pd1 0.0000 0.3355 0.4417  2 O 2.33, 3 As 2.42-2.45
As1 0.0000 0.1683 0.7866  3 Pd 2.42-2.45
O1 0.5000 0.6874 0.9340  2 Pd 2.33, 3 Gd 2.36-2.52
As2 0.0000 0.8317 0.2866  3 Pd 2.42-2.45
Gd1 0.5000 0.7929 0.5917  3 O 2.36-2.52
Gd2 0.5000 0.2071 0.0917  3 O 2.36-2.52
Pd2 0.0000 0.6645 0.9417  2 O 2.33, 3 As 2.42-2.45
O2 0.5000 0.3126 0.4340  2 Pd 2.33, 3 Gd 2.36-2.52

6.
DFT (PBE-GGA) results for a relaxed structure of GdAsPdO.

Results
* energy above the lowest structure with this stoichiometry: 355 meV/atom
* total moment: 0.0 μB/f.u.
* final energy: -6.347 eV/atom

Unit cell a=3.2678 b=7.2251 c=5.7088 alpha=90.00 beta=90.00 gamma=90.00
Last column: nearest neighbours and their distance in Å.
Element x y z (fractional)
Gd1 0.0000 0.3754 0.3075  4 O 2.35
Gd2 0.0000 0.6246 0.8075  4 O 2.35
O1 0.5000 0.5051 0.0608  4 Gd 2.35, 2 Pd 2.58
Pd1 0.5000 0.7969 0.3207  2 O 2.58, 4 As 2.61-2.63
As1 0.0000 0.9988 0.0650  4 Pd 2.61-2.63, 2 As 2.85
As2 0.0000 0.0012 0.5650  4 Pd 2.61-2.63, 2 As 2.85
O2 0.5000 0.4949 0.5608  4 Gd 2.35, 2 Pd 2.58
Pd2 0.5000 0.2031 0.8207  2 O 2.58, 4 As 2.61-2.63

7.
DFT (PBE-GGA) results for a relaxed structure of GdAsPdO.

Results
* energy above the lowest structure with this stoichiometry: 0 meV/atom
* total moment: 0.0 μB/f.u.
* final energy: -6.702 eV/atom

Unit cell a=4.1294 b=4.1294 c=8.0080 alpha=90.00 beta=90.00 gamma=90.00
Last column: nearest neighbours and their distance in Å.
Element x y z (fractional)
Pd1 0.2500 0.7500 0.5000  4 As 2.50
Pd2 0.7500 0.2500 0.5000  4 As 2.50
As1 0.7500 0.7500 0.3250  4 Pd 2.50
Gd1 0.7500 0.7500 0.8692  4 O 2.32
O1 0.2500 0.7500 0.0000  4 Gd 2.32
O2 0.7500 0.2500 0.0000  4 Gd 2.32
As2 0.2500 0.2500 0.6750  4 Pd 2.50
Gd2 0.2500 0.2500 0.1308  4 O 2.32

8.
DFT (PBE-GGA) results for a relaxed structure of GdAsPdO.

Results
* energy above the lowest structure with this stoichiometry: 872 meV/atom
* total moment: 0.0 μB/f.u.
* final energy: -5.830 eV/atom

Unit cell a=5.8037 b=5.8037 c=4.6410 alpha=90.00 beta=90.00 gamma=90.00
Last column: nearest neighbours and their distance in Å.
Element x y z (fractional)
Gd1 0.5000 0.5000 0.5000  2 O 2.32
Gd2 0.0000 0.0000 0.5000  2 O 2.32
O1 0.5000 0.5000 0.0000  2 Gd 2.32
As1 0.5000 0.0000 0.5051  2 Pd 2.32
O2 0.0000 0.0000 0.0000  2 Gd 2.32
Pd1 0.5000 0.0000 0.0050  2 As 2.32
As2 0.0000 0.5000 0.4949  2 Pd 2.32
Pd2 0.0000 0.5000 0.9950  2 As 2.32

9.
DFT (PBE-GGA) results for a relaxed structure of GdAsPtO.

Results
* energy above the lowest structure with this stoichiometry: 402 meV/atom
* total moment: 0.0 μB/f.u.
* final energy: -6.474 eV/atom

Unit cell a=4.6766 b=3.9189 c=7.6516 alpha=90.00 beta=90.00 gamma=90.00
Last column: nearest neighbours and their distance in Å.
Element x y z (fractional)
Gd1 0.5000 0.2496 0.6221  3 O 2.37-2.48
O1 0.5000 0.7504 0.4465  2 Pt 2.34, 3 Gd 2.37-2.48
Gd2 0.5000 0.7504 0.1221  3 O 2.37-2.48
Pt1 0.0000 0.2485 0.9355  2 O 2.34, 3 As 2.41-2.42
Pt2 0.0000 0.7515 0.4355  2 O 2.34, 3 As 2.41-2.42
As1 0.0000 0.2517 0.2498  3 Pt 2.41-2.42
As2 0.0000 0.7483 0.7498  3 Pt 2.41-2.42
O2 0.5000 0.2496 0.9465  2 Pt 2.34, 3 Gd 2.37-2.48

10.
DFT (PBE-GGA) results for a relaxed structure of GdAsPtO.

Results
* energy above the lowest structure with this stoichiometry: 648 meV/atom
* total moment: 0.0 μB/f.u.
* final energy: -6.229 eV/atom

Unit cell a=5.9744 b=5.9744 c=4.5156 alpha=90.00 beta=90.00 gamma=90.00
Last column: nearest neighbours and their distance in Å.
Element x y z (fractional)
O1 0.2500 0.7500 0.0000  2 Gd 2.26
O2 0.7500 0.2500 0.0000  2 Gd 2.26
Pt1 0.7500 0.7500 0.5032  2 As 2.26
Gd1 0.2500 0.7500 0.5000  2 O 2.26
Pt2 0.2500 0.2500 0.4968  2 As 2.26
As1 0.7500 0.7500 0.0032  2 Pt 2.26
Gd2 0.7500 0.2500 0.5000  2 O 2.26
As2 0.2500 0.2500 0.9968  2 Pt 2.26

11.
DFT (PBE-GGA) results for a relaxed structure of GdAsPtO.

Results
* energy above the lowest structure with this stoichiometry: 0 meV/atom
* total moment: 0.0 μB/f.u.
* final energy: -6.877 eV/atom

Unit cell a=4.1755 b=4.1755 c=7.8820 alpha=90.00 beta=90.00 gamma=90.00
Last column: nearest neighbours and their distance in Å.
Element x y z (fractional)
As1 0.0000 0.5000 0.3231  4 Pt 2.51
Pt1 0.5000 0.5000 0.5000  4 As 2.51
As2 0.5000 0.0000 0.6769  4 Pt 2.51
O1 0.0000 0.0000 0.0000  4 Gd 2.33
O2 0.5000 0.5000 0.0000  4 Gd 2.33
Gd1 0.5000 0.0000 0.1300  4 O 2.33
Pt2 0.0000 0.0000 0.5000  4 As 2.51
Gd2 0.0000 0.5000 0.8700  4 O 2.33

12.
DFT (PBE-GGA) results for a relaxed structure of GdAsPtO.

Results
* energy above the lowest structure with this stoichiometry: 448 meV/atom
* total moment: 0.0 μB/f.u.
* final energy: -6.429 eV/atom

Unit cell a=3.5733 b=7.7756 c=5.5320 alpha=90.00 beta=90.00 gamma=90.00
Last column: nearest neighbours and their distance in Å.
Element x y z (fractional)
Gd1 0.0000 0.1898 0.9073  2 O 2.15
O1 0.5000 0.0538 0.0081  2 Gd 2.15, 1 Pt 2.18
Pt1 0.5000 0.7778 0.9385  1 O 2.18, 2 As 2.41
O2 0.5000 0.9462 0.5081  2 Gd 2.15, 1 Pt 2.18
Pt2 0.5000 0.2222 0.4385  1 O 2.18, 2 As 2.41
Gd2 0.0000 0.8102 0.4073  2 O 2.15
As1 0.0000 0.5707 0.9001  2 Pt 2.41
As2 0.0000 0.4293 0.4001  2 Pt 2.41

13.
DFT (PBE-GGA) results for a relaxed structure of RbGdAsO.

Results
* energy above the lowest structure with this stoichiometry: 38 meV/atom
* total moment: 0.0 μB/f.u.
* final energy: -5.309 eV/atom

Unit cell a=5.0378 b=7.1138 c=6.1567 alpha=90.00 beta=90.00 gamma=90.00
Last column: nearest neighbours and their distance in Å.
Element x y z (fractional)
As1 0.0000 0.4232 0.4927  2 Gd 2.94, 1 Rb 3.12, 2 As 3.27
Rb1 0.0000 0.1385 0.0033  4 O 3.10-3.12, 1 As 3.12
Rb2 0.0000 0.8615 0.5033  4 O 3.10-3.12, 1 As 3.12
O1 0.5000 0.0012 0.7549  2 Gd 2.14
O2 0.5000 0.9988 0.2549  2 Gd 2.14
Gd1 0.5000 0.2092 0.5031  2 O 2.14
As2 0.0000 0.5768 0.9927  2 Gd 2.94, 1 Rb 3.12, 2 As 3.27
Gd2 0.5000 0.7908 0.0031  2 O 2.14

14.
DFT (PBE-GGA) results for a relaxed structure of RbGdAsO.

Results
* energy above the lowest structure with this stoichiometry: 0 meV/atom
* total moment: 0.0 μB/f.u.
* final energy: -5.347 eV/atom

Unit cell a=3.5056 b=8.1216 c=7.9780 alpha=90.00 beta=90.00 gamma=90.00
Last column: nearest neighbours and their distance in Å.
Element x y z (fractional)
As1 0.0000 0.7032 0.8141  2 Gd 2.90-2.92
Rb1 0.5000 0.0487 0.6015  2 O 2.76-2.97
O1 0.5000 0.7526 0.3821  2 Gd 2.12
Gd1 0.0000 0.6248 0.4563  2 O 2.12
Rb2 0.5000 0.9514 0.1015  2 O 2.76-2.97
Gd2 0.0000 0.3752 0.9563  2 O 2.12
As2 0.0000 0.2968 0.3141  2 Gd 2.90-2.92
O2 0.5000 0.2474 0.8821  2 Gd 2.12

15.
DFT (PBE-GGA) results for a relaxed structure of RbGdAsO.

Results
* energy above the lowest structure with this stoichiometry: 631 meV/atom
* total moment: 0.0 μB/f.u.
* final energy: -4.716 eV/atom

Unit cell a=5.9537 b=5.9537 c=5.3104 alpha=90.00 beta=90.00 gamma=90.00
Last column: nearest neighbours and their distance in Å.
Element x y z (fractional)
O1 0.7500 0.2500 0.0000  2 Gd 2.66
Gd1 0.2500 0.7500 0.5000  2 O 2.66
Rb1 0.2500 0.2500 0.0013  2 As 2.65-2.66
As1 0.2500 0.2500 0.5014  2 Rb 2.65-2.66
As2 0.7500 0.7500 0.4986  2 Rb 2.65-2.66
Rb2 0.7500 0.7500 0.9987  2 As 2.65-2.66
Gd2 0.7500 0.2500 0.5000  2 O 2.66
O2 0.2500 0.7500 0.0000  2 Gd 2.66

16.
DFT (PBE-GGA) results for a relaxed structure of RbGdAsO.

Results
* energy above the lowest structure with this stoichiometry: 165 meV/atom
* total moment: 0.0 μB/f.u.
* final energy: -5.182 eV/atom

Unit cell a=4.1662 b=4.1662 c=10.9635 alpha=90.00 beta=90.00 gamma=90.00
Last column: nearest neighbours and their distance in Å.
Element x y z (fractional)
Gd1 0.7500 0.7500 0.9090  4 O 2.31
O1 0.7500 0.2500 0.0000  4 Gd 2.31
Gd2 0.2500 0.2500 0.0910  4 O 2.31
Rb1 0.2500 0.7500 0.5000  4 Rb 2.95
As1 0.2500 0.2500 0.7372  4 Rb 3.33, 4 Gd 3.50, 4 O 3.56
As2 0.7500 0.7500 0.2628  4 Rb 3.33, 4 Gd 3.50, 4 O 3.56
Rb2 0.7500 0.2500 0.5000  4 Rb 2.95
O2 0.2500 0.7500 0.0000  4 Gd 2.31

17.
DFT (PBE-GGA) results for a relaxed structure of GdReAsO.

Results
* energy above the lowest structure with this stoichiometry: 0 meV/atom
* total moment: 0.0 μB/f.u.
* final energy: -8.283 eV/atom

Unit cell a=3.9698 b=3.9698 c=8.5798 alpha=90.00 beta=90.00 gamma=90.00
Last column: nearest neighbours and their distance in Å.
Element x y z (fractional)
As1 0.0000 0.5000 0.3186  4 Re 2.52
Re1 0.5000 0.5000 0.5000  4 As 2.52, 4 Re 2.81
O1 0.0000 0.0000 0.0000  4 Gd 2.28
Gd1 0.5000 0.0000 0.1303  4 O 2.28
Re2 0.0000 0.0000 0.5000  4 As 2.52, 4 Re 2.81
As2 0.5000 0.0000 0.6814  4 Re 2.52
O2 0.5000 0.5000 0.0000  4 Gd 2.28
Gd2 0.0000 0.5000 0.8697  4 O 2.28

18.
DFT (PBE-GGA) results for a relaxed structure of GdReAsO.

Results
* energy above the lowest structure with this stoichiometry: 1708 meV/atom
* total moment: 0.0 μB/f.u.
* final energy: -6.575 eV/atom

Unit cell a=4.3042 b=4.3042 c=6.9283 alpha=90.00 beta=90.00 gamma=90.00
Last column: nearest neighbours and their distance in Å.
Element x y z (fractional)
O1 0.5000 0.5000 0.0000  4 Re 2.34
Re1 0.5000 0.0000 0.1342  4 O 2.34, 1 As 2.45
O2 0.0000 0.0000 0.0000  4 Re 2.34
Gd1 0.5000 0.5000 0.5000  4 As 2.90, 4 Gd 3.04
As1 0.5000 0.0000 0.7807  1 Re 2.45, 4 O 2.63
Re2 0.0000 0.5000 0.8658  4 O 2.34, 1 As 2.45
Gd2 0.0000 0.0000 0.5000  4 As 2.90, 4 Gd 3.04
As2 0.0000 0.5000 0.2193  1 Re 2.45, 4 O 2.63

19.
DFT (PBE-GGA) results for a relaxed structure of GdReAsO.

Results
* energy above the lowest structure with this stoichiometry: 599 meV/atom
* total moment: 0.0 μB/f.u.
* final energy: -7.683 eV/atom

Unit cell a=4.1266 b=6.2510 c=5.6447 alpha=90.00 beta=90.00 gamma=90.00
Last column: nearest neighbours and their distance in Å.
Element x y z (fractional)
O1 0.5000 0.7597 0.4198  2 Re 2.08-2.11, 2 Gd 2.17
Gd1 0.0000 0.3261 0.8520  2 O 2.17
O2 0.5000 0.2403 0.9198  2 Re 2.08-2.11, 2 Gd 2.17
As1 0.0000 0.8191 0.8641  4 Re 2.66-2.85, 1 Gd 2.90
Re1 0.5000 0.9593 0.1182  2 O 2.08-2.11
Re2 0.5000 0.0407 0.6182  2 O 2.08-2.11
As2 0.0000 0.1809 0.3641  4 Re 2.66-2.85, 1 Gd 2.90
Gd2 0.0000 0.6739 0.3520  2 O 2.17

20.
DFT (PBE-GGA) results for a relaxed structure of GdReAsO.

Results
* energy above the lowest structure with this stoichiometry: 482 meV/atom
* total moment: 0.0 μB/f.u.
* final energy: -7.801 eV/atom

Unit cell a=4.0144 b=4.4057 c=7.4839 alpha=90.00 beta=90.00 gamma=90.00
Last column: nearest neighbours and their distance in Å.
Element x y z (fractional)
Gd1 0.5000 0.2614 0.6031  3 O 2.50-2.55
As1 0.0000 0.2656 0.2743  3 Re 2.51-2.53
O1 0.5000 0.2312 0.9381  2 Re 2.01
As2 0.0000 0.7344 0.7743  3 Re 2.51-2.53
Re1 0.0000 0.7679 0.4385  2 O 2.01
O2 0.5000 0.7688 0.4381  2 Re 2.01
Gd2 0.5000 0.7386 0.1031  3 O 2.50-2.55
Re2 0.0000 0.2320 0.9385  2 O 2.01